(1)
Material: Be4TlSb3O12
Method: DFT, GGA-PBE
State: optimized geometry

**Total magnetic moment**: 0.0 Bohr magnetons per cell
**Raw total energy**: -6.225 eV/atom
**Raw formation energy**: -1.77 eV/atom
**Mass density**: 5.6 Mg/m³
**Space-group type**: R32, No. 155

a b c (Å): 6.464 6.464 6.464
angles (deg): 104.60 104.60 104.60
Element x y z (fractional)
Be (0.938, 0.062, 0.500)
Be (0.062, 0.500, 0.938)
Be (0.500, 0.938, 0.062)
Be (0.500, 0.500, 0.500)
Tl (0.000, 0.000, 0.000)
Sb (0.553, 0.447, 0.000)
Sb (0.447, 0.000, 0.553)
Sb (0.000, 0.553, 0.447)
O (0.500, 0.345, 0.655)
O (0.902, 0.500, 0.098)
O (0.098, 0.902, 0.500)
O (0.500, 0.098, 0.902)
O (0.389, 0.988, 0.242)
O (0.242, 0.389, 0.988)
O (0.988, 0.242, 0.389)
O (0.611, 0.758, 0.012)
O (0.012, 0.611, 0.758)
O (0.758, 0.012, 0.611)
O (0.655, 0.500, 0.345)
O (0.345, 0.655, 0.500)



(2)
Material: Ho6HgOs
Method: DFT, GGA-PBE
State: optimized geometry

**DFT formation energy**: -0.034 eV per atom
**Total magnetic moment**: 0.0 Bohr magnetons per cell
**Raw total energy**: -4.909 eV/atom
**DOS at the Fermi energy**: 10.05 states/eV/f.u.
**Mass density**: 9.0 Mg/m³
**Space-group type**: P-1, No. 2

a b c (Å): 6.802 6.811 7.473
angles (deg): 62.99 63.04 60.04
Element x y z (fractional)
Ho (0.047, 0.418, 0.757)
Ho (0.777, 0.047, 0.757)
Ho (0.582, 0.223, 0.243)
Ho (0.223, 0.953, 0.243)
Ho (0.953, 0.582, 0.243)
Ho (0.418, 0.777, 0.757)
Hg (0.500, 0.500, 0.500)
Os (0.000, 0.000, 0.000)



(3)
Material: Ta2OsRh2
Method: DFT, GGA-PBE
State: optimized geometry

**DFT formation energy**: -0.138 eV per atom
**Total magnetic moment**: 0.0 Bohr magnetons per cell
**Raw total energy**: -10.065 eV/atom
**DOS at the Fermi energy**: 5.89 states/eV/f.u.
**Mass density**: 15.6 Mg/m³
**Space-group type**: P4/mbm, No. 127

a b c (Å): 7.213 7.213 3.103
angles (deg): 90.00 90.00 90.00
Element x y z (fractional)
Rh (0.372, 0.872, 0.000)
Rh (0.872, 0.628, 0.000)
Rh (0.628, 0.128, 0.000)
Rh (0.128, 0.372, 0.000)
Os (0.000, 0.000, 0.000)
Os (0.500, 0.500, 0.000)
Ta (0.176, 0.676, 0.500)
Ta (0.676, 0.824, 0.500)
Ta (0.824, 0.324, 0.500)
Ta (0.324, 0.176, 0.500)